Entry A
Entry from Alexandria via LeMat-Bulk: a relaxed structure of AsIrPb2 (PBE).

Values from the calculation:
* symmetry: Fm-3m
* size of the total moment: 0.00 μB per cell
* D(E_F): 0.9322 states/eV/atom

Structure (POSCAR):
```
AsIrPb2
1.0
0.0000 3.5466 3.5466
3.5466 0.0000 3.5466
3.5466 3.5466 0.0000
As Ir Pb
1 1 2
Direct
0.0000 0.0000 0.0000 As
0.5000 0.5000 0.5000 Ir
0.7500 0.7500 0.7500 Pb
0.2500 0.2500 0.2500 Pb
```

***

Entry B
Entry from Alexandria via LeMat-Bulk: a relaxed structure of AsIrPb2 (PBE).

Values from the calculation:
* symmetry: I-42d
* size of the total moment: 0.00 μB per cell
* D(E_F): 0.6901 states/eV/atom

Structure (POSCAR):
```
AsIrPb2
1.0
-3.5459 -3.8661 3.6225
5.2940 -2.4157 2.6040
0.6719 1.2215 7.5712
Pb As Ir
4 2 2
Direct
0.8750 0.8981 0.7500 Pb
0.3750 0.3519 0.7500 Pb
0.1019 0.6250 0.2500 Pb
0.6481 0.1250 0.2500 Pb
0.5000 0.5000 0.0000 As
0.2500 0.7500 0.5000 As
0.7500 0.2500 0.5000 Ir
0.0000 0.0000 0.0000 Ir
```

***

Result of the stability comparison: entry B is the most stable of them.

***

Entry A
Entry from Alexandria via LeMat-Bulk: a relaxed structure of AsIr2Pd2 (PBE).

Values from the calculation:
* symmetry: I4/mmm
* size of the total moment: 0.00 μB per cell
* D(E_F): 1.2228 states/eV/atom

Structure (POSCAR):
```
AsIr2Pd2
1.0
-1.6770 1.2096 -2.8681
1.1258 -2.8016 -1.8398
-5.9785 -4.3055 -0.4995
As Pd Ir
1 2 2
Direct
0.0000 0.0000 0.0000 As
0.5969 0.5969 0.8063 Pd
0.4031 0.4031 0.1937 Pd
0.7500 0.2500 0.5000 Ir
0.2500 0.7500 0.5000 Ir
```

***

Entry B
Entry from Alexandria via LeMat-Bulk: a relaxed structure of AsIr2Pd2 (PBE).

Values from the calculation:
* symmetry: P4/mbm
* size of the total moment: 0.00 μB per cell
* D(E_F): 1.0047 states/eV/atom

Structure (POSCAR):
```
AsIr2Pd2
1.0
-5.1565 -1.2942 -3.2545
0.5655 -6.0240 1.4994
-2.3417 0.6403 3.4556
Ir Pd As
4 4 2
Direct
0.8575 0.6425 0.0000 Ir
0.3575 0.8575 0.0000 Ir
0.1425 0.3575 0.0000 Ir
0.6425 0.1425 0.0000 Ir
0.6686 0.8314 0.5000 Pd
0.3314 0.1686 0.5000 Pd
0.1686 0.6686 0.5000 Pd
0.8314 0.3314 0.5000 Pd
0.5000 0.5000 0.0000 As
0.0000 0.0000 0.0000 As
```

***

Entry C
Entry from Alexandria via LeMat-Bulk: a relaxed structure of AsIr2Pd2 (PBE).

Values from the calculation:
* symmetry: P4/mbm
* size of the total moment: 0.00 μB per cell
* D(E_F): 1.4233 states/eV/atom

Structure (POSCAR):
```
AsIr2Pd2
1.0
7.8003 0.0000 0.0000
0.0000 7.8003 0.0000
0.0000 0.0000 2.7345
Ir As Pd
4 2 4
Direct
0.6168 0.8832 0.5000 Ir
0.1168 0.6168 0.5000 Ir
0.3832 0.1168 0.5000 Ir
0.8832 0.3832 0.5000 Ir
0.0000 0.0000 0.0000 As
0.5000 0.5000 0.0000 As
0.8193 0.6807 0.0000 Pd
0.6807 0.1807 0.0000 Pd
0.3193 0.8193 0.0000 Pd
0.1807 0.3193 0.0000 Pd
```

***

Result of the stability comparison: entry B is the most stable of them.

***

Entry A
Entry from Alexandria via LeMat-Bulk: a relaxed structure of AsIrPt (PBE).

Values from the calculation:
* symmetry: P3m1
* size of the total moment: 0.00 μB per cell
* D(E_F): 0.3246 states/eV/atom

Structure (POSCAR):
```
AsIrPt
1.0
-3.7974 -0.2758 1.1101
0.9772 -0.3481 -3.8279
0.3826 -3.5681 0.4222
As Pt Ir
1 1 1
Direct
0.0000 0.0000 0.0390 As
0.6667 0.3333 0.7135 Pt
0.3333 0.6667 0.2475 Ir
```

***

Entry B
Entry from Alexandria via LeMat-Bulk: a relaxed structure of AsIrPt (PBE).

Values from the calculation:
* symmetry: I4mm
* size of the total moment: 0.00 μB per cell
* D(E_F): 0.7462 states/eV/atom

Structure (POSCAR):
```
AsIrPt
1.0
-0.3739 5.1825 -2.8063
-4.0407 4.1366 -1.1976
2.6956 -3.6749 3.7552
Pt Ir As
1 1 1
Direct
0.3333 0.3333 0.0000 Pt
0.6543 0.6543 0.0000 Ir
0.0125 0.0125 0.0000 As
```

***

Entry C
Entry from Alexandria via LeMat-Bulk: a relaxed structure of AsIrPt (PBE).

Values from the calculation:
* symmetry: P3m1
* size of the total moment: 0.00 μB per cell
* D(E_F): 0.9535 states/eV/atom

Structure (POSCAR):
```
AsIrPt
1.0
2.9340 0.0000 0.0000
-1.4670 2.5409 0.0000
0.0000 0.0000 6.3169
Ir As Pt
1 1 1
Direct
0.3333 0.6667 0.3113 Ir
0.0000 0.0000 0.0109 As
0.6667 0.3333 0.6779 Pt
```

***

Result of the stability comparison: entry A is the most stable of them.

***

Entry A
Entry from Alexandria via LeMat-Bulk: a relaxed structure of AsIrPt (PBE).

Values from the calculation:
* symmetry: P2_1/c
* size of the total moment: 0.00 μB per cell
* D(E_F): 0.6962 states/eV/atom

Structure (POSCAR):
```
AsIrPt
1.0
-1.1404 -4.5042 3.6411
4.1145 2.3265 4.1665
-4.1748 2.7544 2.0998
Pt Ir As
4 4 4
Direct
0.7072 0.1091 0.4885 Pt
0.2928 0.8909 0.5115 Pt
0.2072 0.8909 0.0115 Pt
0.7928 0.1091 0.9885 Pt
0.8512 0.7373 0.7054 Ir
0.1488 0.2627 0.2946 Ir
0.3512 0.2627 0.7946 Ir
0.6488 0.7373 0.2054 Ir
0.4682 0.6361 0.7910 As
0.9682 0.3639 0.7090 As
0.5318 0.3639 0.2090 As
0.0318 0.6361 0.2910 As
```

***

Entry B
Entry from Alexandria via LeMat-Bulk: a relaxed structure of AsIrPt (PBE).

Values from the calculation:
* symmetry: Fmm2
* size of the total moment: 0.00 μB per cell
* D(E_F): 0.8139 states/eV/atom

Structure (POSCAR):
```
AsIrPt
1.0
-1.5682 -6.7124 2.9243
1.1121 -6.8229 2.0820
-0.6014 0.4390 2.7114
As Ir Pt
1 1 1
Direct
0.9892 0.9892 0.0108 As
0.3406 0.3406 0.6594 Ir
0.6702 0.6702 0.3298 Pt
```

***

Result of the stability comparison: entry A is the most stable of them.

***

Entry A
Entry from Alexandria via LeMat-Bulk: a relaxed structure of RbAsIr (PBE).

Values from the calculation:
* symmetry: I4/mmm
* size of the total moment: 0.00 μB per cell
* D(E_F): 0.7319 states/eV/atom

Structure (POSCAR):
```
RbAsIr
1.0
4.0931 0.0000 0.0000
0.0000 4.0931 0.0000
-2.0466 -2.0466 10.3946
Rb Ir As
2 2 2
Direct
0.6490 0.6490 0.2981 Rb
0.3510 0.3510 0.7019 Rb
0.5000 0.0000 0.0000 Ir
0.0000 0.5000 0.0000 Ir
0.0719 0.0719 0.1438 As
0.9281 0.9281 0.8562 As
```

***

Entry B
Entry from Alexandria via LeMat-Bulk: a relaxed structure of RbAsIr (PBE).

Values from the calculation:
* symmetry: I4mm
* size of the total moment: 0.00 μB per cell
* D(E_F): 0.5319 states/eV/atom

Structure (POSCAR):
```
RbAsIr
1.0
3.3360 0.0000 0.0000
0.0000 3.3360 0.0000
-1.6680 -1.6680 6.3832
Rb As Ir
1 1 1
Direct
0.9995 0.9995 0.9989 Rb
0.7140 0.7140 0.4280 As
0.2865 0.2865 0.5731 Ir
```

***

Result of the stability comparison: entry A is the most stable of them.

***

Entry A
Entry from Alexandria via LeMat-Bulk: a relaxed structure of RbAsIr (PBE).

Values from the calculation:
* symmetry: P4/nmm
* size of the total moment: 0.00 μB per cell
* D(E_F): 0.4850 states/eV/atom

Structure (POSCAR):
```
RbAsIr
1.0
-0.1694 0.8176 -4.0060
-3.0962 -2.6441 -0.4087
-7.2424 8.1756 1.9749
Ir As Rb
2 2 2
Direct
0.0000 0.0000 0.5000 Ir
0.5000 0.5000 0.5000 Ir
0.0000 0.5000 0.3740 As
0.5000 0.0000 0.6260 As
0.0000 0.5000 0.8008 Rb
0.5000 0.0000 0.1992 Rb
```

***

Entry B
Entry from Alexandria via LeMat-Bulk: a relaxed structure of RbAsIr (PBE).

Values from the calculation:
* symmetry: P-6m2
* size of the total moment: 0.00 μB per cell
* D(E_F): 0.9937 states/eV/atom

Structure (POSCAR):
```
RbAsIr
1.0
5.7243 0.0000 0.0000
0.0000 4.1266 0.0000
0.0000 -2.0633 3.5737
Rb As Ir
1 1 1
Direct
0.6667 0.6667 0.3333 Rb
0.1666 0.0000 0.0000 As
0.1666 0.3333 0.6667 Ir
```

***

Result of the stability comparison: entry A is the most stable of them.

***

Entry A
Entry from Alexandria via LeMat-Bulk: a relaxed structure of RbAsIr3 (PBE).

Values from the calculation:
* symmetry: Pm-3m
* size of the total moment: 0.00 μB per cell
* D(E_F): 1.0273 states/eV/atom

Structure (POSCAR):
```
RbAsIr3
1.0
4.7328 0.0000 0.0000
0.0000 4.7328 0.0000
0.0000 0.0000 4.7328
Ir As Rb
3 1 1
Direct
0.5000 0.0000 0.0000 Ir
0.0000 0.0000 0.5000 Ir
0.0000 0.5000 0.0000 Ir
0.0000 0.0000 0.0000 As
0.5000 0.5000 0.5000 Rb
```

***

Entry B
Entry from Alexandria via LeMat-Bulk: a relaxed structure of RbAsIr3 (PBE).

Values from the calculation:
* symmetry: Pm-3m
* size of the total moment: 1.10 μB per cell
* D(E_F): 1.4315 states/eV/atom

Structure (POSCAR):
```
RbAsIr3
1.0
4.8631 0.0000 0.0000
0.0000 4.8631 0.0000
0.0000 0.0000 4.8631
Ir Rb As
3 1 1
Direct
0.5000 0.0000 0.0000 Ir
0.0000 0.5000 0.0000 Ir
0.0000 0.0000 0.5000 Ir
0.0000 0.0000 0.0000 Rb
0.5000 0.5000 0.5000 As
```

***

Result of the stability comparison: entry A is the most stable of them.

***

Entry A
Entry from Alexandria via LeMat-Bulk: a relaxed structure of RbAsIrSe (PBE).

Values from the calculation:
* symmetry: R3m
* size of the total moment: 0.00 μB per cell
* D(E_F): 0.3446 states/eV/atom

Structure (POSCAR):
```
RbAsIrSe
1.0
-0.7887 2.3790 3.1046
-1.8760 -3.5035 -0.3559
15.8250 -9.6320 11.4009
Ir As Rb Se
3 3 3 3
Direct
0.6667 0.3333 0.6040 Ir
0.3333 0.6667 0.9373 Ir
0.0000 0.0000 0.2706 Ir
0.3333 0.6667 0.5615 As
0.0000 0.0000 0.8948 As
0.6667 0.3333 0.2282 As
0.6667 0.3333 0.7797 Rb
0.0000 0.0000 0.4463 Rb
0.3333 0.6667 0.1130 Rb
0.0000 0.0000 0.6623 Se
0.3333 0.6667 0.3290 Se
0.6667 0.3333 0.9956 Se
```

***

Entry B
Entry from Alexandria via LeMat-Bulk: a relaxed structure of RbAsIrSe (PBE).

Values from the calculation:
* symmetry: P1
* size of the total moment: 0.00 μB per cell
* D(E_F): 0.7974 states/eV/atom

Structure (POSCAR):
```
RbAsIrSe
1.0
3.8608 -0.0004 0.0006
-0.0006 5.2198 -0.0011
1.8790 2.1679 5.9007
As Se Ir Rb
1 1 1 1
Direct
0.6844 0.0095 0.1227 As
0.7685 0.5350 0.9496 Se
0.2264 0.7927 0.0364 Ir
0.9917 0.2115 0.5184 Rb
```

***

Entry C
Entry from Alexandria via LeMat-Bulk: a relaxed structure of RbAsIrSe (PBE).

Values from the calculation:
* symmetry: Pm
* size of the total moment: 0.00 μB per cell
* D(E_F): 0.6053 states/eV/atom

Structure (POSCAR):
```
RbAsIrSe
1.0
-1.5852 4.3512 1.7941
-3.0848 -0.1508 -2.3600
-2.6017 -4.1809 3.6678
Ir As Se Rb
1 1 1 1
Direct
0.0705 0.0000 0.9798 Ir
0.8432 0.5000 0.0703 As
0.3238 0.5000 0.8532 Se
0.5865 0.0000 0.4695 Rb
```

***

Result of the stability comparison: entry A is the most stable of them.

***

Entry A
Entry from Alexandria via LeMat-Bulk: a relaxed structure of ReAsIr3 (PBE).

Values from the calculation:
* symmetry: Pm-3m
* size of the total moment: 0.00 μB per cell
* D(E_F): 1.1860 states/eV/atom

Structure (POSCAR):
```
ReAsIr3
1.0
-1.6746 -4.4320 -0.2309
4.4357 -1.6634 -0.2410
0.1442 -0.3010 4.7317
As Ir Re
1 3 1
Direct
0.5000 0.5000 0.5000 As
0.5000 0.0000 0.0000 Ir
0.0000 0.0000 0.5000 Ir
0.0000 0.5000 0.0000 Ir
0.0000 0.0000 0.0000 Re
```

***

Entry B
Entry from Alexandria via LeMat-Bulk: a relaxed structure of ReAsIr3 (PBE).

Values from the calculation:
* symmetry: Pm-3m
* size of the total moment: 4.95 μB per cell
* D(E_F): 1.1520 states/eV/atom

Structure (POSCAR):
```
ReAsIr3
1.0
4.5346 0.0000 0.0000
0.0000 4.5346 0.0000
0.0000 0.0000 4.5346
Ir As Re
3 1 1
Direct
0.0000 0.0000 0.5000 Ir
0.0000 0.5000 0.0000 Ir
0.5000 0.0000 0.0000 Ir
0.0000 0.0000 0.0000 As
0.5000 0.5000 0.5000 Re
```

***

Result of the stability comparison: entry B is the most stable of them.

***

Entry A
Entry from Alexandria via LeMat-Bulk: a relaxed structure of Re3AsIr (PBE).

Values from the calculation:
* symmetry: Pm-3m
* size of the total moment: 0.70 μB per cell
* D(E_F): 1.4451 states/eV/atom

Structure (POSCAR):
```
Re3AsIr
1.0
4.7291 0.0000 0.0000
0.0000 4.7291 0.0000
0.0000 0.0000 4.7291
As Ir Re
1 1 3
Direct
0.5000 0.5000 0.5000 As
0.0000 0.0000 0.0000 Ir
0.5000 0.0000 0.0000 Re
0.0000 0.5000 0.0000 Re
0.0000 0.0000 0.5000 Re
```

***

Entry B
Entry from Alexandria via LeMat-Bulk: a relaxed structure of Re3AsIr (PBE).

Values from the calculation:
* symmetry: Pm-3m
* size of the total moment: 0.00 μB per cell
* D(E_F): 1.2267 states/eV/atom

Structure (POSCAR):
```
Re3AsIr
1.0
-4.3204 -0.4218 -1.0560
0.7565 -4.1636 -1.4321
-0.8490 -1.5637 4.0979
Ir Re As
1 3 1
Direct
0.5000 0.5000 0.5000 Ir
0.5000 0.0000 0.0000 Re
0.0000 0.5000 0.0000 Re
0.0000 0.0000 0.5000 Re
0.0000 0.0000 0.0000 As
```

***

Result of the stability comparison: entry B is the most stable of them.

***

Entry A
Entry from Alexandria via LeMat-Bulk: a relaxed structure of ReAsIr (PBE).

Values from the calculation:
* symmetry: Amm2
* size of the total moment: 0.00 μB per cell
* D(E_F): 0.7617 states/eV/atom

Structure (POSCAR):
```
ReAsIr
1.0
2.8967 0.0000 0.0000
-1.4483 2.5102 0.0000
0.0000 0.0000 12.5839
As Ir Re
2 2 2
Direct
0.1132 0.2265 0.8445 As
0.1132 0.2265 0.1555 As
0.7759 0.5517 0.6647 Ir
0.7759 0.5517 0.3353 Ir
0.4458 0.8916 0.0000 Re
0.4426 0.8853 0.5000 Re
```

***

Entry B
Entry from Alexandria via LeMat-Bulk: a relaxed structure of ReAsIr (PBE).

Values from the calculation:
* symmetry: P3m1
* size of the total moment: 0.00 μB per cell
* D(E_F): 0.5064 states/eV/atom

Structure (POSCAR):
```
ReAsIr
1.0
-0.0137 -2.8765 0.2132
0.4229 1.2542 -2.5628
6.1946 0.0480 1.0456
As Re Ir
1 1 1
Direct
0.0000 0.0000 0.9922 As
0.3333 0.6667 0.6724 Re
0.6667 0.3333 0.3354 Ir
```

***

Result of the stability comparison: entry A is the most stable of them.

***

Entry A
Entry from Alexandria via LeMat-Bulk: a relaxed structure of Re2As2Ir (PBE).

Values from the calculation:
* symmetry: I4/mmm
* size of the total moment: 0.00 μB per cell
* D(E_F): 1.3150 states/eV/atom

Structure (POSCAR):
```
Re2As2Ir
1.0
-2.7416 -1.3433 -3.0207
3.3041 -0.9828 -2.5618
0.3974 -5.3461 -1.0365
Re As Ir
2 2 1
Direct
0.7500 0.2500 0.5000 Re
0.2500 0.7500 0.5000 Re
0.6253 0.6253 0.7493 As
0.3747 0.3747 0.2507 As
0.0000 0.0000 0.0000 Ir
```

***

Entry B
Entry from Alexandria via LeMat-Bulk: a relaxed structure of Re2As2Ir (PBE).

Values from the calculation:
* symmetry: P4/mbm
* size of the total moment: 0.00 μB per cell
* D(E_F): 0.6962 states/eV/atom

Structure (POSCAR):
```
Re2As2Ir
1.0
-2.5468 6.0817 -2.9422
-1.2989 -3.5264 -6.1650
-2.6764 -0.6642 0.9438
Re Ir As
4 2 4
Direct
0.6525 0.8475 0.5000 Re
0.3475 0.1525 0.5000 Re
0.1525 0.6525 0.5000 Re
0.8475 0.3475 0.5000 Re
0.0000 0.0000 0.0000 Ir
0.5000 0.5000 0.0000 Ir
0.1491 0.3509 0.0000 As
0.3509 0.8509 0.0000 As
0.8509 0.6491 0.0000 As
0.6491 0.1491 0.0000 As
```

***

Result of the stability comparison: entry B is the most stable of them.